Arrangement 1

Density functional theory data (PBE) for an optimized crystal structure of CaNd3Pt2.

## Properties
Calculated volume   27.62 Å³/atom
D(E_F)   0.7835 states/eV/atom
Space-group type   Pmc2_1, No. 26

Cell lengths 4.9056, 7.4945, 9.0148 Å; angles 90.00, 90.00, 90.00 degrees
Closest atoms and distances in Å follow each position.
Positions (direct):
1 Ca 0.5000 0.5109 0.5829  3 Pt 2.98-3.23
2 Ca 0.5000 0.0109 0.4171  3 Pt 2.98-3.23
3 Nd 0.0000 0.4920 0.9152  3 Pt 2.92-3.19
4 Nd 0.0000 0.9920 0.0848  3 Pt 2.92-3.19
5 Nd 0.5000 0.6443 0.1672  4 Pt 2.95-3.00
6 Nd 0.5000 0.1443 0.8328  4 Pt 2.95-3.00
7 Nd 0.0000 0.3541 0.3338  4 Pt 2.95-3.06
8 Nd 0.0000 0.8541 0.6662  4 Pt 2.95-3.06
9 Pt 0.5000 0.7505 0.8462  6 Nd 2.95-3.19, 1 Ca 2.98
10 Pt 0.5000 0.2505 0.1538  6 Nd 2.95-3.19, 1 Ca 2.98
11 Pt 0.0000 0.2482 0.6622  5 Nd 2.92-3.06, 2 Ca 3.23
12 Pt 0.0000 0.7482 0.3378  5 Nd 2.92-3.06, 2 Ca 3.23



Arrangement 2

Density functional theory data (PBE) for an optimized crystal structure of CaNd3Pt2.

## Properties
Calculated volume   30.64 Å³/atom
D(E_F)   0.8433 states/eV/atom
Space-group type   C2/m, No. 12

Cell lengths 4.4661, 8.6976, 10.7217 Å; angles 66.96, 77.98, 75.12 degrees
Closest atoms and distances in Å follow each position.
Positions (direct):
1 Ca 0.4312 0.4746 0.6629  3 Pt 2.88-2.97
2 Ca 0.5688 0.5254 0.3371  3 Pt 2.88-2.97
3 Nd 0.0490 0.1051 0.7969  3 Pt 2.97-2.99
4 Nd 0.9510 0.8949 0.2031  3 Pt 2.97-2.99
5 Nd 0.6681 0.6974 0.9664  3 Pt 2.92
6 Nd 0.3319 0.3026 0.0336  3 Pt 2.92
7 Nd 0.7982 0.8174 0.5861  3 Pt 2.91-2.92
8 Nd 0.2018 0.1826 0.4139  3 Pt 2.91-2.92
9 Pt 0.8601 0.4343 0.8455  2 Ca 2.88, 4 Nd 2.92-2.99
10 Pt 0.1399 0.5657 0.1545  2 Ca 2.88, 4 Nd 2.92-2.99
11 Pt 0.6215 0.1574 0.5996  5 Nd 2.91-2.97, 1 Ca 2.97
12 Pt 0.3785 0.8426 0.4004  5 Nd 2.91-2.97, 1 Ca 2.97



Energy ordering: arrangement 1 at the bottom, the next structure 76 meV per atom above.